# RbSrNb

A relaxed structure of RbSrNb (PBE, Alexandria via LeMat-Bulk).

Lattice parameters (Å, degrees): 13.2507 4.0574 10.6092 90.00 90.00 90.00
Closest atoms and distances in Å follow each position.
Space group Pnma (No. 62)
Symmetry-distinct sites (fractional):
Rb (0.0167, 0.2500, 0.1777) (multiplicity 4)  3 Nb 3.66-3.92, 2 Rb 4.06
Sr (0.2204, 0.7500, 0.4196) (multiplicity 4)  3 Nb 3.37-3.53
Nb (0.0442, 0.2500, 0.5453) (multiplicity 4)  2 Nb 2.53

Raw total energy = -3.3872 eV/atom
Fermi-level density of states = 15.479 states/eV/cell
Energy of formation = 2.56 eV per formula unit
Size of the total moment = 0.0000 μB per atom
ΔE to the lowest computed polymorph = 449 meV per atom